1.
## TaCr3 (PBE)

Data for an optimized crystal structure of TaCr3.

Size of the total moment   0.08 μB/f.u.
Density of states at the Fermi level   0.637 states/eV per atom
Mass density   10.46 g/cm3
Formation energy   0.086 eV/atom

Unit cell a=5.9717 b=5.9717 c=6.0020 alpha=90.36 beta=90.36 gamma=89.07
Last column: nearest neighbours and their distance in Å.
Element x y z (fractional)
Ta  0.0000  0.0000  0.0000  7 Cr 2.60-2.68, 1 Ta 2.72
Ta  0.0000  0.0000  0.4929  7 Cr 2.57-2.64, 1 Ta 2.69
Ta  0.4864  0.4864  0.0037  7 Cr 2.53-2.61, 1 Ta 2.67
Ta  0.7374  0.7374  0.7399  5 Cr 2.58-2.63, 3 Ta 2.67-2.72
Cr  0.2462  0.7386  0.7422  5 Cr 2.54-2.65, 3 Ta 2.59-2.63
Cr  0.2485  0.2485  0.2538  5 Cr 2.48-2.57, 3 Ta 2.53-2.60
Cr  0.2483  0.2483  0.7415  5 Cr 2.53-2.61, 3 Ta 2.56-2.63
Cr  0.2484  0.7393  0.2536  5 Cr 2.51-2.61, 3 Ta 2.55-2.62
Cr  0.4873  0.4873  0.4946  7 Cr 2.48-2.62, 1 Ta 2.58
Cr  0.4915  0.9989  0.4914  7 Cr 2.51-2.64, 1 Ta 2.60
Cr  0.4918  0.9943  0.0024  7 Cr 2.57-2.65, 1 Ta 2.63
Cr  0.7386  0.2462  0.7422  5 Cr 2.54-2.65, 3 Ta 2.59-2.63
Cr  0.7393  0.2484  0.2536  5 Cr 2.51-2.61, 3 Ta 2.55-2.62
Cr  0.7405  0.7405  0.2487  5 Cr 2.57-2.62, 3 Ta 2.61-2.68
Cr  0.9943  0.4918  0.0024  7 Cr 2.57-2.65, 1 Ta 2.63
Cr  0.9989  0.4915  0.4914  7 Cr 2.51-2.64, 1 Ta 2.60


2.
## Ta4Cr (PBE)

Data for an optimized crystal structure of Ta4Cr.

Size of the total moment   0.00 μB/f.u.
Density of states at the Fermi level   1.037 states/eV per atom
Mass density   13.33 g/cm3
Distance to the lowest polymorph of the same formula   4.991 eV per formula unit
Formation energy   1.014 eV/atom

Unit cell a=4.5887 b=4.5887 c=4.5887 alpha=90.00 beta=90.00 gamma=90.00
Last column: nearest neighbours and their distance in Å.
Element x y z (fractional)
Ta  0.0000  0.0000  0.0000  12 Ta 3.24
Ta  0.0000  0.5000  0.5000  2 Cr 2.29
Ta  0.5000  0.0000  0.5000  2 Cr 2.29
Ta  0.5000  0.5000  0.0000  2 Cr 2.29
Cr  0.5000  0.5000  0.5000  6 Ta 2.29


3.
## TaCr3 (PBE)

Data for an optimized crystal structure of TaCr3.

Size of the total moment   0.84 μB/f.u.
Density of states at the Fermi level   1.498 states/eV per atom
Mass density   10.20 g/cm3
Formation energy   0.320 eV/atom

Unit cell a=4.4323 b=4.9064 c=5.0434 alpha=90.00 beta=90.00 gamma=90.00
Last column: nearest neighbours and their distance in Å.
Element x y z (fractional)
Ta  0.2500  0.2500  0.1177  4 Cr 2.47-2.68
Ta  0.7500  0.7500  0.8823  4 Cr 2.47-2.68
Cr  0.2500  0.5252  0.6331  1 Cr 2.21
Cr  0.2500  0.7500  0.1803  4 Ta 2.47-2.68, 6 Cr 2.54-2.76
Cr  0.2500  0.9748  0.6331  1 Cr 2.21
Cr  0.7500  0.0252  0.3669  1 Cr 2.21
Cr  0.7500  0.2500  0.8197  4 Ta 2.47-2.68, 6 Cr 2.54-2.76
Cr  0.7500  0.4748  0.3669  1 Cr 2.21


4.
## Ta2Cr (PBE)

Data for an optimized crystal structure of Ta2Cr.

Size of the total moment   0.00 μB/f.u.
Density of states at the Fermi level   1.263 states/eV per atom
Mass density   14.28 g/cm3
Formation energy   -0.014 eV/atom

Unit cell a=5.3612 b=5.3612 c=5.3612 alpha=145.93 beta=145.93 gamma=48.95
Last column: nearest neighbours and their distance in Å.
Element x y z (fractional)
Ta  0.1552  0.1552  0.0000  4 Cr 2.69, 4 Ta 2.89
Ta  0.8448  0.8448  0.0000  4 Cr 2.69, 4 Ta 2.89
Cr  0.5000  0.5000  0.0000  8 Ta 2.69


5.
## TaCr2 (PBE)

Data for an optimized crystal structure of TaCr2.

Size of the total moment   0.00 μB/f.u.
Density of states at the Fermi level   0.708 states/eV per atom
Mass density   11.35 g/cm3
Distance to the lowest polymorph of the same formula   0.606 eV per formula unit
Formation energy   0.073 eV/atom

Unit cell a=6.7521 b=6.7521 c=3.0332 alpha=90.00 beta=90.00 gamma=142.92
Last column: nearest neighbours and their distance in Å.
Element x y z (fractional)
Ta  0.0912  0.9088  0.7500  8 Cr 2.60-2.90, 2 Ta 2.79
Ta  0.9088  0.0912  0.2500  8 Cr 2.60-2.90, 2 Ta 2.79
Cr  0.2562  0.7438  0.2500  6 Cr 2.53-2.63, 2 Ta 2.60
Cr  0.4144  0.5856  0.7500  4 Cr 2.53-2.67, 4 Ta 2.63
Cr  0.5856  0.4144  0.2500  4 Cr 2.53-2.67, 4 Ta 2.63
Cr  0.7438  0.2562  0.7500  6 Cr 2.53-2.63, 2 Ta 2.60


6.
## Ta5Cr (PBE)

Data for an optimized crystal structure of Ta5Cr.

Size of the total moment   2.32 μB/f.u.
Density of states at the Fermi level   1.450 states/eV per atom
Mass density   14.76 g/cm3
Distance to the lowest polymorph of the same formula   2.009 eV per formula unit
Formation energy   0.361 eV/atom

Unit cell a=4.9657 b=4.9657 c=5.0416 alpha=90.00 beta=90.00 gamma=120.00
Last column: nearest neighbours and their distance in Å.
Element x y z (fractional)
Ta  0.0000  0.6691  0.0000  10 Ta 2.85-3.02, 2 Cr 3.01
Ta  0.3309  0.3309  0.0000  10 Ta 2.85-3.02, 2 Cr 3.01
Ta  0.3333  0.6667  0.5000  3 Cr 2.87, 9 Ta 2.87-3.02
Ta  0.6667  0.3333  0.5000  3 Cr 2.87, 9 Ta 2.87-3.02
Ta  0.6691  0.0000  0.0000  10 Ta 2.85-3.02, 2 Cr 3.01
Cr  0.0000  0.0000  0.5000  12 Ta 2.87-3.01


Question: Which of these has the highest density of states at the Fermi level?
Answer: number 3


Question: Which value of formation energy does entry 3 give?
Answer: 0.320 eV/atom


Question: Number 1 is which compound?
Answer: TaCr3


Question: Look up the density of states at the Fermi level of the fourth one.
Answer: 1.263 states/eV per atom